Crystalline P2Pd2O7 at its relaxed geometry. Source: Alexandria via LeMat-Bulk, functional PBE-GGA.

```
P2Pd2O7
1.0
6.660 -2.775 0.000
6.660 2.775 0.000
-1.210 0.000 7.960
P Pd O
4 4 14
direct
0.025 0.756 0.729
0.244 0.975 0.771
0.756 0.025 0.229
0.975 0.244 0.271
0.000 0.500 0.000
0.500 0.000 0.500
0.500 0.500 0.000
0.500 0.500 0.500
0.001 0.999 0.750
0.133 0.249 0.794
0.140 0.636 0.908
0.203 0.570 0.586
0.249 0.133 0.294
0.364 0.860 0.592
0.430 0.797 0.914
0.570 0.203 0.086
0.636 0.140 0.408
0.751 0.867 0.706
0.797 0.430 0.414
0.860 0.364 0.092
0.867 0.751 0.206
0.999 0.001 0.250
```

Crystalline PPdO2 at its relaxed geometry. Source: Alexandria via LeMat-Bulk, functional PBE-GGA.

```
PPdO2
1.0
1.434 0.828 6.627
-1.434 0.828 6.627
0.000 -1.656 6.627
P Pd O
1 1 2
direct
0.000 0.000 0.000
0.500 0.500 0.500
0.078 0.078 0.078
0.922 0.922 0.922
```

Crystalline P3PdO at its relaxed geometry. Source: Alexandria via LeMat-Bulk, functional PBE-GGA.

```
P3PdO
1.0
4.145 0.000 0.000
0.000 4.145 0.000
0.000 0.000 4.145
P Pd O
3 1 1
direct
0.000 0.000 0.500
0.000 0.500 0.000
0.500 0.000 0.000
0.500 0.500 0.500
0.000 0.000 0.000
```

Crystalline P2PdO at its relaxed geometry. Source: Alexandria via LeMat-Bulk, functional PBE-GGA.

```
P2PdO
1.0
-2.171 2.171 6.238
2.171 -2.171 6.238
2.171 2.171 -6.238
P Pd O
4 2 2
direct
0.027 0.625 0.902
0.375 0.277 0.402
0.723 0.125 0.098
0.875 0.973 0.598
0.250 0.750 0.500
0.500 0.500 0.000
0.000 0.000 0.000
0.750 0.250 0.500
```

Crystalline P3PdO9 at its relaxed geometry. Source: Alexandria via LeMat-Bulk, functional PBE-GGA.

```
P3PdO9
1.0
6.824 -3.268 0.000
6.824 3.268 0.000
-6.124 0.000 7.550
P Pd O
6 2 18
direct
0.060 0.940 0.500
0.294 0.490 0.580
0.490 0.294 0.080
0.536 0.700 0.445
0.700 0.536 0.945
0.940 0.060 0.000
0.015 0.499 0.765
0.499 0.015 0.265
0.090 0.140 0.673
0.102 0.744 0.548
0.140 0.090 0.173
0.171 0.389 0.574
0.258 0.809 0.413
0.343 0.426 0.948
0.389 0.171 0.074
0.426 0.343 0.448
0.469 0.573 0.772
0.573 0.469 0.272
0.589 0.869 0.457
0.613 0.671 0.102
0.671 0.613 0.602
0.744 0.102 0.048
0.809 0.258 0.913
0.829 0.992 0.347
0.869 0.589 0.957
0.992 0.829 0.847
```

Crystalline PPd2O at its relaxed geometry. Source: Alexandria via LeMat-Bulk, functional PBE-GGA.

```
PPd2O
1.0
-2.807 2.807 4.003
2.807 -2.807 4.003
2.807 2.807 -4.003
P Pd O
2 4 2
direct
0.000 0.000 0.000
0.750 0.250 0.500
0.138 0.625 0.013
0.375 0.388 0.513
0.612 0.125 0.987
0.875 0.862 0.487
0.250 0.750 0.500
0.500 0.500 0.000
```

Crystalline PPdO2 at its relaxed geometry. Source: Alexandria via LeMat-Bulk, functional PBE-GGA.

```
PPdO2
1.0
-2.547 2.547 4.145
2.547 -2.547 4.145
2.547 2.547 -4.145
P Pd O
2 2 4
direct
0.000 0.000 0.000
0.750 0.250 0.500
0.250 0.750 0.500
0.500 0.500 0.000
0.375 0.231 0.356
0.769 0.125 0.144
0.875 0.019 0.644
0.981 0.625 0.856
```

Crystalline PPd2O at its relaxed geometry. Source: Alexandria via LeMat-Bulk, functional PBE-GGA.

```
PPd2O
1.0
0.000 2.922 2.922
2.922 0.000 2.922
2.922 2.922 0.000
P Pd O
1 2 1
direct
0.000 0.000 0.000
0.250 0.250 0.250
0.750 0.750 0.750
0.500 0.500 0.500
```

Crystalline PPdO2 at its relaxed geometry. Source: Alexandria via LeMat-Bulk, functional PBE-GGA.

```
PPdO2
1.0
1.487 0.858 6.288
-1.487 0.858 6.288
0.000 -1.717 6.288
P Pd O
1 1 2
direct
0.000 0.000 0.000
0.500 0.500 0.500
0.389 0.389 0.389
0.611 0.611 0.611
```

Crystalline PmP2PdO8 at its relaxed geometry. Source: Alexandria via LeMat-Bulk, functional PBE-GGA.

```
PmP2PdO8
1.0
5.184 0.000 0.000
-2.592 4.490 0.000
0.000 0.000 6.912
Pm P Pd O
1 2 1 8
direct
0.000 0.000 0.000
0.333 0.667 0.223
0.667 0.333 0.777
0.000 0.000 0.500
0.167 0.335 0.286
0.167 0.833 0.286
0.333 0.667 0.001
0.335 0.167 0.714
0.665 0.833 0.286
0.667 0.333 0.999
0.833 0.167 0.714
0.833 0.665 0.714
```

Crystalline PrP2PdO8 at its relaxed geometry. Source: Alexandria via LeMat-Bulk, functional PBE-GGA.

```
PrP2PdO8
1.0
5.192 0.000 0.000
-2.596 4.496 0.000
0.000 0.000 7.009
Pr P Pd O
1 2 1 8
direct
0.000 0.000 0.000
0.333 0.667 0.228
0.667 0.333 0.772
0.000 0.000 0.500
0.168 0.335 0.290
0.168 0.832 0.290
0.333 0.667 0.008
0.335 0.168 0.710
0.665 0.832 0.290
0.667 0.333 0.992
0.832 0.168 0.710
0.832 0.665 0.710
```

Crystalline PuP2PdO8 at its relaxed geometry. Source: Alexandria via LeMat-Bulk, functional PBE-GGA.

```
PuP2PdO8
1.0
5.172 0.000 0.000
-2.586 4.479 0.000
0.000 0.000 6.932
Pu P Pd O
1 2 1 8
direct
0.000 0.000 0.000
0.333 0.667 0.201
0.667 0.333 0.799
0.000 0.000 0.500
0.168 0.336 0.268
0.168 0.832 0.268
0.333 0.667 0.979
0.336 0.168 0.732
0.664 0.832 0.268
0.667 0.333 0.021
0.832 0.168 0.732
0.832 0.664 0.732
```

Crystalline RbPPdO4 at its relaxed geometry. Source: Alexandria via LeMat-Bulk, functional PBE-GGA.

```
RbPPdO4
1.0
0.000 4.220 4.220
4.220 0.000 4.220
4.220 4.220 0.000
Rb P Pd O
1 1 1 4
direct
0.000 0.000 0.000
0.500 0.500 0.500
0.750 0.750 0.750
0.183 0.606 0.606
0.606 0.183 0.606
0.606 0.606 0.183
0.606 0.606 0.606
```

Crystalline RbPPdO2 at its relaxed geometry. Source: Alexandria via LeMat-Bulk, functional PBE-GGA.

```
RbPPdO2
1.0
4.115 0.000 0.000
0.000 4.115 0.000
0.000 0.000 7.160
Rb P Pd O
1 1 1 2
direct
0.000 0.000 0.000
0.000 0.000 0.500
0.500 0.500 0.500
0.000 0.500 0.000
0.500 0.000 0.000
```

Crystalline RbP2PdO at its relaxed geometry. Source: Alexandria via LeMat-Bulk, functional PBE-GGA.

```
RbP2PdO
1.0
5.306 0.000 0.000
0.000 5.306 0.000
0.000 0.000 4.173
Rb P Pd O
1 2 1 1
direct
0.000 0.000 0.000
0.000 0.500 0.000
0.500 0.000 0.000
0.500 0.500 0.500
0.000 0.000 0.500
```

Crystalline RbP2PdO at its relaxed geometry. Source: Alexandria via LeMat-Bulk, functional PBE-GGA.

```
RbP2PdO
1.0
4.607 0.000 0.000
0.000 4.607 0.000
0.000 0.000 4.961
Rb P Pd O
1 2 1 1
direct
0.000 0.000 0.000
0.000 0.500 0.500
0.500 0.000 0.500
0.500 0.500 0.500
0.500 0.500 0.000
```

Crystalline RbPPdO6 at its relaxed geometry. Source: Alexandria via LeMat-Bulk, functional PBE-GGA.

```
RbPPdO6
1.0
4.951 0.000 0.000
-2.476 4.288 0.000
0.000 0.000 6.422
Rb P Pd O
1 1 1 6
direct
0.000 0.000 0.000
0.667 0.333 0.500
0.333 0.667 0.500
0.402 0.044 0.657
0.402 0.358 0.343
0.642 0.044 0.343
0.642 0.598 0.657
0.956 0.358 0.657
0.956 0.598 0.343
```

Crystalline RbPPdO2 at its relaxed geometry. Source: Alexandria via LeMat-Bulk, functional PBE-GGA.

```
RbPPdO2
1.0
4.444 0.000 0.000
0.000 4.444 0.000
0.000 0.000 4.458
Rb P Pd O
1 1 1 2
direct
0.000 0.000 0.000
0.500 0.500 0.000
0.500 0.500 0.500
0.000 0.500 0.500
0.500 0.000 0.500
```

Crystalline RbP2Pd2O7 at its relaxed geometry. Source: Alexandria via LeMat-Bulk, functional PBE-GGA.

```
RbP2Pd2O7
1.0
2.861 1.652 7.998
-2.861 1.652 7.998
0.000 -3.303 7.998
Rb P Pd O
1 2 2 7
direct
0.000 0.000 0.000
0.433 0.433 0.433
0.567 0.567 0.567
0.236 0.236 0.236
0.764 0.764 0.764
0.147 0.437 0.658
0.342 0.563 0.853
0.437 0.658 0.147
0.500 0.500 0.500
0.563 0.853 0.342
0.658 0.147 0.437
0.853 0.342 0.563
```

Crystalline RePPdO2 at its relaxed geometry. Source: Alexandria via LeMat-Bulk, functional PBE-GGA.

```
RePPdO2
1.0
3.831 0.000 0.000
0.000 3.831 0.000
0.000 0.000 5.037
Re P Pd O
1 1 1 2
direct
0.000 0.000 0.000
0.500 0.500 0.000
0.500 0.500 0.500
0.000 0.500 0.500
0.500 0.000 0.500
```

Crystalline ReP2PdO at its relaxed geometry. Source: Alexandria via LeMat-Bulk, functional PBE-GGA.

```
ReP2PdO
1.0
4.734 0.000 0.000
0.000 4.734 0.000
0.000 0.000 3.689
Re P Pd O
1 2 1 1
direct
0.000 0.000 0.000
0.000 0.500 0.000
0.500 0.000 0.000
0.500 0.500 0.500
0.000 0.000 0.500
```

Crystalline ReP2PdO at its relaxed geometry. Source: Alexandria via LeMat-Bulk, functional PBE-GGA.

```
ReP2PdO
1.0
4.690 0.000 0.000
0.000 4.690 0.000
0.000 0.000 3.748
Re P Pd O
1 2 1 1
direct
0.000 0.000 0.000
0.000 0.500 0.500
0.500 0.000 0.500
0.500 0.500 0.500
0.500 0.500 0.000
```

Crystalline RePPdO2 at its relaxed geometry. Source: Alexandria via LeMat-Bulk, functional PBE-GGA.

```
RePPdO2
1.0
3.716 0.000 0.000
0.000 3.716 0.000
0.000 0.000 5.250
Re P Pd O
1 1 1 2
direct
0.000 0.000 0.000
0.000 0.000 0.500
0.500 0.500 0.500
0.000 0.500 0.000
0.500 0.000 0.000
```

Crystalline P2PdRhO at its relaxed geometry. Source: Alexandria via LeMat-Bulk, functional PBE-GGA.

```
P2PdRhO
1.0
4.698 0.000 0.000
0.000 4.698 0.000
0.000 0.000 3.721
P Pd Rh O
2 1 1 1
direct
0.000 0.500 0.000
0.500 0.000 0.000
0.000 0.000 0.000
0.500 0.500 0.500
0.000 0.000 0.500
```

We obtain uncorrected energy values of -6.538, -5.418, -4.779, -5.255, -6.763, -5.334, -5.425, -5.346, -5.459, -7.076, -7.082, -7.792, -5.876, -2.878, -2.524, -4.054, -5.688, -4.174, -6.155, -5.742, -6.690, -5.610, -7.246, -4.952 eV/atom for the records listed above, in that order.
We obtain ρ values of 4365, 5956, 5022, 5206, 3387, 6836, 5231, 8643, 5843, 4555, 4438, 5587, 3168, 3491, 3813, 4256, 3883, 4807, 3459, 7987, 7444, 7466, 8143, 5809 kg/m3 for the records listed above, in that order.